1.
## TbAl2Ga3 (PBE)

Data for a relaxed structure of TbAl2Ga3.

Cell: 5.4148 5.8941 8.0594 Å, 111.45 88.77 93.36°
Closest atoms and distances in Å follow each position.
Sites, in units of the cell vectors:
1 Ga 0.2591 0.5952 0.6945  2 Al 2.65-2.67, 2 Ga 2.92-2.97
2 Ga 0.7591 0.9007 0.3055  2 Al 2.65-2.67, 2 Ga 2.92-2.97
3 Ga 0.2500 0.1511 0.3021  2 Tb 2.97, 6 Ga 2.97-3.29, 4 Al 3.01-3.12
4 Ga 0.7409 0.4048 0.3055  2 Al 2.65-2.67, 2 Ga 2.92-2.97
5 Ga 0.2409 0.0993 0.6945  2 Al 2.65-2.67, 2 Ga 2.92-2.97
6 Ga 0.7500 0.8489 0.6979  2 Tb 2.97, 6 Ga 2.97-3.29, 4 Al 3.01-3.12
7 Tb 0.7500 0.3256 0.6512  8 Ga 2.97-3.12, 4 Al 3.23-3.28
8 Tb 0.2500 0.6744 0.3488  8 Ga 2.97-3.12, 4 Al 3.23-3.28
9 Al 0.4912 0.2640 0.9988  2 Ga 2.65-2.67, 3 Al 2.71-2.77
10 Al 0.5088 0.7360 0.0012  2 Ga 2.65-2.67, 3 Al 2.71-2.77
11 Al 0.9912 0.2652 0.0012  2 Ga 2.65-2.67, 3 Al 2.71-2.77
12 Al 0.0088 0.7348 0.9988  2 Ga 2.65-2.67, 3 Al 2.71-2.77

E above lowest polymorph ... 106 meV/atom
Density of states at the Fermi level ... 0.51 states/eV per atom
Total DFT energy (no corrections) ... -3.751 eV per atom
Energy of formation from the pure elements ... -0.22 eV/atom

***

2.
## Tb2Al3Ga2 (PBE)

Data for a relaxed structure of Tb2Al3Ga2.

Cell: 4.1953 5.6565 6.5882 Å, 100.05 90.00 111.77°
Closest atoms and distances in Å follow each position.
Sites, in units of the cell vectors:
1 Al 0.6989 0.3977 0.8651  2 Ga 2.65, 2 Al 2.83
2 Al 0.0000 0.0000 0.0000  2 Ga 2.68
3 Al 0.3011 0.6023 0.1349  2 Ga 2.65, 2 Al 2.83
4 Ga 0.9050 0.8100 0.3502  1 Ga 2.53, 3 Al 2.65-2.68
5 Ga 0.0950 0.1900 0.6498  1 Ga 2.53, 3 Al 2.65-2.68
6 Tb 0.3811 0.7623 0.6740  5 Ga 2.98-3.10, 5 Al 3.09-3.30
7 Tb 0.6189 0.2377 0.3260  5 Ga 2.98-3.10, 5 Al 3.09-3.30

Density of states at the Fermi level ... 0.50 states/eV per atom
Total DFT energy (no corrections) ... -4.278 eV per atom
Energy of formation from the pure elements ... -0.49 eV/atom

***

3.
## Tb2AlGa12 (PBE)

Data for a relaxed structure of Tb2AlGa12.

Cell: 5.8867 5.8867 16.9778 Å, 90.00 90.00 90.00°
Closest atoms and distances in Å follow each position.
Sites, in units of the cell vectors:
1 Ga 0.0000 0.0000 0.2016  5 Ga 2.47-2.66
2 Ga 0.7482 0.7518 0.1044  6 Ga 2.66-2.94, 2 Al 2.72-2.75
3 Ga 0.5000 0.5000 0.6530  5 Ga 2.47-2.62
4 Ga 0.2482 0.7482 0.1044  6 Ga 2.66-2.94, 2 Al 2.72-2.75
5 Ga 0.5000 0.5000 0.2016  5 Ga 2.47-2.66
6 Ga 0.0000 0.0000 0.6530  5 Ga 2.47-2.62
7 Ga 0.3240 0.8240 0.4336  3 Ga 2.57-2.62
8 Ga 0.2482 0.2518 0.8956  6 Ga 2.66-2.94, 2 Al 2.72-2.75
9 Ga 0.2518 0.7518 0.8956  6 Ga 2.66-2.94, 2 Al 2.72-2.75
10 Ga 0.7518 0.2518 0.1044  6 Ga 2.66-2.94, 2 Al 2.72-2.75
11 Ga 0.5000 0.5000 0.7984  5 Ga 2.47-2.66
12 Ga 0.1760 0.6760 0.5664  3 Ga 2.57-2.62
13 Ga 0.7518 0.7482 0.8956  6 Ga 2.66-2.94, 2 Al 2.72-2.75
14 Ga 0.5000 0.5000 0.3470  5 Ga 2.47-2.62
15 Ga 0.0000 0.0000 0.3470  5 Ga 2.47-2.62
16 Ga 0.3240 0.1760 0.5664  3 Ga 2.57-2.62
17 Ga 0.7482 0.2482 0.8956  6 Ga 2.66-2.94, 2 Al 2.72-2.75
18 Ga 0.1760 0.3240 0.4336  3 Ga 2.57-2.62
19 Ga 0.6760 0.8240 0.5664  3 Ga 2.57-2.62
20 Ga 0.0000 0.0000 0.7984  5 Ga 2.47-2.66
21 Ga 0.6760 0.1760 0.4336  3 Ga 2.57-2.62
22 Ga 0.2518 0.2482 0.1044  6 Ga 2.66-2.94, 2 Al 2.72-2.75
23 Ga 0.8240 0.6760 0.4336  3 Ga 2.57-2.62
24 Ga 0.8240 0.3240 0.5664  3 Ga 2.57-2.62
25 Tb 0.5000 0.0000 0.2736  10 Ga 3.09-3.20
26 Tb 0.5000 0.0000 0.7264  10 Ga 3.09-3.20
27 Tb 0.0000 0.5000 0.2736  10 Ga 3.09-3.20
28 Tb 0.0000 0.5000 0.7264  10 Ga 3.09-3.20
29 Al 0.0000 0.5000 0.0000  8 Ga 2.72-2.75
30 Al 0.5000 0.0000 0.0000  8 Ga 2.72-2.75

Density of states at the Fermi level ... 0.21 states/eV per atom
Total DFT energy (no corrections) ... -3.548 eV per atom
Energy of formation from the pure elements ... -0.26 eV/atom

***

4.
## TbAl2Ga (PBE)

Data for a relaxed structure of TbAl2Ga.

Cell: 4.1777 5.5530 5.5530 Å, 115.97 112.09 112.09°
Closest atoms and distances in Å follow each position.
Sites, in units of the cell vectors:
1 Ga 0.5000 0.2500 0.7500  4 Tb 2.94-2.95, 8 Al 3.14-3.15
2 Al 0.0000 0.0000 0.0000  4 Al 2.94-2.95, 4 Tb 3.14-3.15, 4 Ga 3.14-3.15
3 Al 0.0000 0.5000 0.5000  4 Al 2.94-2.95, 4 Tb 3.14-3.15, 4 Ga 3.14-3.15
4 Tb 0.5000 0.7500 0.2500  4 Ga 2.94-2.95, 8 Al 3.14-3.15

Density of states at the Fermi level ... 0.68 states/eV per atom
Total DFT energy (no corrections) ... -4.126 eV per atom
Energy of formation from the pure elements ... -0.34 eV/atom

***

5.
## Tb4Al3Ga (PBE)

Data for a relaxed structure of Tb4Al3Ga.

Cell: 4.4374 4.1107 11.1478 Å, 90.00 90.00 90.00°
Closest atoms and distances in Å follow each position.
Sites, in units of the cell vectors:
1 Tb 0.0000 0.5000 0.8607  5 Al 3.12-3.21, 2 Ga 3.27
2 Tb 0.5000 0.0000 0.6408  7 Al 3.12-3.27
3 Tb 0.0000 0.0000 0.1382  4 Ga 3.10, 3 Al 3.19-3.22
4 Tb 0.5000 0.5000 0.3568  6 Al 3.12-3.28, 1 Ga 3.13
5 Ga 0.5000 0.5000 0.0764  2 Al 2.63
6 Al 0.0000 0.5000 0.5731  2 Al 2.64
7 Al 0.0000 0.0000 0.4247  2 Al 2.64
8 Al 0.5000 0.0000 0.9294  2 Ga 2.63

Density of states at the Fermi level ... 0.97 states/eV per atom
Total DFT energy (no corrections) ... -4.539 eV per atom
Energy of formation from the pure elements ... -0.44 eV/atom

***

6.
## Tb2Al3Ga (PBE)

Data for a relaxed structure of Tb2Al3Ga.

Cell: 3.5253 4.5404 7.8335 Å, 90.00 90.00 90.00°
Closest atoms and distances in Å follow each position.
Sites, in units of the cell vectors:
1 Al 0.5000 0.0000 0.8323  3 Al 2.62-2.63
2 Al 0.5000 0.0000 0.1676  2 Ga 2.62, 1 Al 2.63
3 Al 0.5000 0.5000 0.6659  1 Ga 2.60, 2 Al 2.62
4 Tb 0.0000 0.0000 0.4987  8 Al 3.14-3.16, 4 Ga 3.15
5 Tb 0.0000 0.5000 0.0015  2 Ga 3.14, 10 Al 3.15-3.17
6 Ga 0.5000 0.5000 0.3340  3 Al 2.60-2.62

Density of states at the Fermi level ... 0.30 states/eV per atom
Total DFT energy (no corrections) ... -4.459 eV per atom
Energy of formation from the pure elements ... -0.54 eV/atom

***

7.
## Tb5AlGa4 (PBE)

Data for a relaxed structure of Tb5AlGa4.

Cell: 3.5866 3.5866 18.0402 Å, 90.00 90.00 90.00°
Closest atoms and distances in Å follow each position.
Sites, in units of the cell vectors:
1 Al 0.0000 0.0000 0.0000  8 Tb 3.13
2 Tb 0.5000 0.5000 0.8980  4 Ga 3.10, 4 Al 3.13
3 Tb 0.5000 0.5000 0.6993  8 Ga 3.11
4 Tb 0.5000 0.5000 0.5000  8 Ga 3.11
5 Tb 0.5000 0.5000 0.3007  8 Ga 3.11
6 Tb 0.5000 0.5000 0.1020  4 Ga 3.10, 4 Al 3.13
7 Ga 0.0000 0.0000 0.7990  8 Tb 3.10-3.11
8 Ga 0.0000 0.0000 0.2010  8 Tb 3.10-3.11
9 Ga 0.0000 0.0000 0.4004  8 Tb 3.11
10 Ga 0.0000 0.0000 0.5996  8 Tb 3.11

Density of states at the Fermi level ... 0.47 states/eV per atom
Total DFT energy (no corrections) ... -4.447 eV per atom
Energy of formation from the pure elements ... -0.55 eV/atom

***

8.
## Tb8Al2Ga (PBE)

Data for a relaxed structure of Tb8Al2Ga.

Cell: 5.0055 8.3541 8.7007 Å, 118.69 106.72 90.00°
Closest atoms and distances in Å follow each position.
Sites, in units of the cell vectors:
1 Al 0.1938 0.6938 0.3877  10 Tb 3.14-3.48
2 Al 0.8062 0.3062 0.6123  10 Tb 3.14-3.48
3 Tb 0.3414 0.5609 0.6828  3 Al 3.14-3.17, 1 Ga 3.27, 5 Tb 3.40-3.45
4 Tb 0.6586 0.8781 0.3172  3 Al 3.14-3.17, 1 Ga 3.27, 5 Tb 3.40-3.45
5 Tb 0.6586 0.4391 0.3172  3 Al 3.14-3.17, 1 Ga 3.27, 5 Tb 3.40-3.45
6 Tb 0.3414 0.1219 0.6828  3 Al 3.14-3.17, 1 Ga 3.27, 5 Tb 3.40-3.45
7 Tb 0.0000 0.3151 0.0000  7 Tb 3.09-3.40, 2 Al 3.19
8 Tb 0.1389 0.1389 0.2777  2 Ga 3.21, 8 Tb 3.31-3.45, 2 Al 3.48
9 Tb 0.0000 0.6849 0.0000  7 Tb 3.09-3.40, 2 Al 3.19
10 Tb 0.8611 0.8611 0.7223  2 Ga 3.21, 8 Tb 3.31-3.45, 2 Al 3.48
11 Ga 0.5000 0.0000 0.0000  8 Tb 3.21-3.27

E above lowest polymorph ... 44 meV/atom
Density of states at the Fermi level ... 1.08 states/eV per atom
Total DFT energy (no corrections) ... -4.502 eV per atom
Energy of formation from the pure elements ... -0.18 eV/atom

***

9.
## TbAl3Ga4 (PBE)

Data for a relaxed structure of TbAl3Ga4.

Cell: 3.3834 6.7827 7.9859 Å, 115.13 102.23 90.00°
Closest atoms and distances in Å follow each position.
Sites, in units of the cell vectors:
1 Al 0.1850 0.1850 0.3700  6 Ga 2.70-2.75
2 Al 0.0000 0.5000 0.0000  8 Ga 2.96
3 Al 0.8150 0.8150 0.6300  6 Ga 2.70-2.75
4 Ga 0.3534 0.5433 0.7068  1 Ga 2.58, 3 Al 2.70-2.75
5 Ga 0.3534 0.1635 0.7068  1 Ga 2.58, 3 Al 2.70-2.75
6 Ga 0.6466 0.4567 0.2932  1 Ga 2.58, 3 Al 2.70-2.75
7 Ga 0.6466 0.8365 0.2932  1 Ga 2.58, 3 Al 2.70-2.75
8 Tb 0.5000 0.0000 0.0000  4 Ga 2.94, 4 Al 3.10

Density of states at the Fermi level ... 0.35 states/eV per atom
Total DFT energy (no corrections) ... -3.555 eV per atom
Energy of formation from the pure elements ... -0.06 eV/atom

***

10.
## Tb2AlGa5 (PBE)

Data for a relaxed structure of Tb2AlGa5.

Cell: 6.0256 6.0256 6.0256 Å, 90.97 119.44 119.44°
Closest atoms and distances in Å follow each position.
Sites, in units of the cell vectors:
1 Tb 0.5000 0.7780 0.2780  10 Ga 3.01-3.04, 2 Al 3.04
2 Tb 0.5000 0.2780 0.7780  10 Ga 3.01-3.04, 2 Al 3.04
3 Ga 0.4883 0.7720 0.7720  6 Ga 2.97-3.11, 2 Al 3.00-3.03, 4 Tb 3.01
4 Ga 0.5117 0.2837 0.2837  6 Ga 2.97-3.11, 2 Al 3.00-3.03, 4 Tb 3.01
5 Ga 0.0000 0.2679 0.2679  8 Ga 2.99-3.04, 4 Tb 3.04
6 Ga 0.0000 0.2837 0.7720  6 Ga 2.97-3.11, 2 Al 3.00-3.03, 4 Tb 3.01
7 Ga 0.0000 0.7720 0.2837  6 Ga 2.97-3.11, 2 Al 3.00-3.03, 4 Tb 3.01
8 Al 0.0000 0.7868 0.7868  8 Ga 3.00-3.03, 4 Tb 3.04

Density of states at the Fermi level ... 0.36 states/eV per atom
Total DFT energy (no corrections) ... -4.027 eV per atom
Energy of formation from the pure elements ... -0.51 eV/atom

***

11.
## TbAl3Ga (PBE)

Data for a relaxed structure of TbAl3Ga.

Cell: 2.9826 9.4605 7.3980 Å, 90.00 90.00 90.00°
Closest atoms and distances in Å follow each position.
Sites, in units of the cell vectors:
1 Al 0.5000 0.5935 0.6286  2 Al 2.60-2.89, 1 Ga 2.62
2 Al 0.5000 0.9065 0.6286  2 Al 2.60-2.89, 1 Ga 2.62
3 Al 0.5000 0.4065 0.3714  2 Al 2.60-2.89, 1 Ga 2.62
4 Al 0.5000 0.5000 0.0000  2 Ga 2.44
5 Al 0.5000 0.0935 0.3714  2 Al 2.60-2.89, 1 Ga 2.62
6 Al 0.5000 0.0000 0.0000  2 Ga 2.44
7 Ga 0.5000 0.2500 0.0792  4 Al 2.44-2.62
8 Ga 0.5000 0.7500 0.9208  4 Al 2.44-2.62
9 Tb 0.0000 0.7500 0.2865  2 Tb 2.98, 2 Ga 3.09, 4 Al 3.29
10 Tb 0.0000 0.2500 0.7135  2 Tb 2.98, 2 Ga 3.09, 4 Al 3.29

Density of states at the Fermi level ... 0.53 states/eV per atom
Total DFT energy (no corrections) ... -3.811 eV per atom
Energy of formation from the pure elements ... -0.03 eV/atom

***

12.
## Tb7Al5Ga (PBE)

Data for a relaxed structure of Tb7Al5Ga.

Cell: 6.2627 7.8978 7.8978 Å, 77.61 66.64 66.64°
Closest atoms and distances in Å follow each position.
Sites, in units of the cell vectors:
1 Al 0.5464 0.4786 0.9877  2 Al 2.76-2.87, 4 Tb 3.00-3.08
2 Al 0.7764 0.7236 0.7236  4 Al 2.87, 6 Tb 3.15-3.17
3 Al 0.5464 0.9877 0.4786  2 Al 2.76-2.87, 4 Tb 3.00-3.08
4 Al 0.9872 0.9877 0.4786  2 Al 2.76-2.87, 4 Tb 3.00-3.08
5 Al 0.9872 0.4786 0.9877  2 Al 2.76-2.87, 4 Tb 3.00-3.08
6 Tb 0.0189 0.2935 0.6687  5 Al 3.08-3.21, 1 Ga 3.21, 3 Tb 3.33-3.43
7 Tb 0.0189 0.6687 0.2935  5 Al 3.08-3.21, 1 Ga 3.21, 3 Tb 3.33-3.43
8 Tb 0.5256 0.8028 0.1459  5 Al 3.02-3.34, 2 Tb 3.11-3.37
9 Tb 0.2802 0.2198 0.2198  4 Al 3.00, 4 Tb 3.11-3.33
10 Tb 0.2380 0.7620 0.7620  6 Al 3.08-3.16, 1 Ga 3.17
11 Tb 0.5256 0.1459 0.8028  5 Al 3.02-3.34, 2 Tb 3.11-3.37
12 Tb 0.6106 0.3894 0.3894  4 Al 3.25, 4 Tb 3.37-3.61, 1 Ga 3.47
13 Ga 0.9384 0.0616 0.0616  6 Tb 3.17-3.55, 4 Al 3.33

Density of states at the Fermi level ... 0.81 states/eV per atom
Total DFT energy (no corrections) ... -4.389 eV per atom
Energy of formation from the pure elements ... -0.22 eV/atom